VASP calculation (GGA-PBE) on a relaxed structure of Ce3Cd5O12.

```
data_Ce3Cd5O12
_chemical_formula_sum 'Ce12 Cd20 O48'
_space_group_name_H-M_alt 'P 1'
_space_group_IT_number 1
_space_group_name_Hall 'P 1'
_cell_length_a 11.516
_cell_length_b 11.516
_cell_length_c 11.516
_cell_angle_alpha 109.47
_cell_angle_beta 109.47
_cell_angle_gamma 109.47
loop_
_atom_site_label
_atom_site_fract_x
_atom_site_fract_y
_atom_site_fract_z
Ce1 0.125 0.250 0.375
Ce2 0.125 0.375 0.750
Ce3 0.250 0.375 0.125
Ce4 0.250 0.875 0.625
Ce5 0.375 0.125 0.250
Ce6 0.375 0.750 0.125
Ce7 0.625 0.250 0.875
Ce8 0.625 0.875 0.750
Ce9 0.750 0.125 0.375
Ce10 0.750 0.625 0.875
Ce11 0.875 0.625 0.250
Ce12 0.875 0.750 0.625
Cd1 0.000 0.000 0.000
Cd2 0.000 0.000 0.500
Cd3 0.000 0.500 0.000
Cd4 0.000 0.500 0.500
Cd5 0.125 0.750 0.875
Cd6 0.125 0.875 0.250
Cd7 0.250 0.125 0.875
Cd8 0.250 0.625 0.375
Cd9 0.375 0.250 0.625
Cd10 0.375 0.625 0.750
Cd11 0.500 0.000 0.000
Cd12 0.500 0.000 0.500
Cd13 0.500 0.500 0.000
Cd14 0.500 0.500 0.500
Cd15 0.625 0.375 0.250
Cd16 0.625 0.750 0.375
Cd17 0.750 0.375 0.625
Cd18 0.750 0.875 0.125
Cd19 0.875 0.125 0.750
Cd20 0.875 0.250 0.125
O1 0.057 0.226 0.139
O2 0.057 0.330 0.917
O3 0.083 0.639 0.413
O4 0.083 0.943 0.670
O5 0.087 0.726 0.670
O6 0.087 0.861 0.417
O7 0.139 0.057 0.226
O8 0.139 0.583 0.913
O9 0.170 0.226 0.587
O10 0.170 0.443 0.583
O11 0.226 0.139 0.057
O12 0.226 0.587 0.170
O13 0.274 0.330 0.913
O14 0.274 0.443 0.361
O15 0.330 0.913 0.274
O16 0.330 0.917 0.057
O17 0.361 0.274 0.443
O18 0.361 0.587 0.917
O19 0.413 0.083 0.639
O20 0.413 0.830 0.774
O21 0.417 0.087 0.861
O22 0.417 0.830 0.557
O23 0.443 0.361 0.274
O24 0.443 0.583 0.170
O25 0.557 0.417 0.830
O26 0.557 0.639 0.726
O27 0.583 0.170 0.443
O28 0.583 0.913 0.139
O29 0.587 0.170 0.226
O30 0.587 0.917 0.361
O31 0.639 0.413 0.083
O32 0.639 0.726 0.557
O33 0.670 0.083 0.943
O34 0.670 0.087 0.726
O35 0.726 0.557 0.639
O36 0.726 0.670 0.087
O37 0.774 0.413 0.830
O38 0.774 0.861 0.943
O39 0.830 0.557 0.417
O40 0.830 0.774 0.413
O41 0.861 0.417 0.087
O42 0.861 0.943 0.774
O43 0.913 0.139 0.583
O44 0.913 0.274 0.330
O45 0.917 0.057 0.330
O46 0.917 0.361 0.587
O47 0.943 0.670 0.083
O48 0.943 0.774 0.861
```

Summary:
The space-group type is Ia-3d, No. 230. The uncorrected formation energy is -1.838 eV per atom. The total magnetization is 0.0 μB per formula unit. The volume is 294 Å³/f.u.